a:
This record from the Alexandria database describes NaLi2Sn2 after structural relaxation. The functional is PBE-GGA.

Output
Calculated density   3.910 g/cm³
M_tot   0.0 Bohr magnetons per cell

Lattice parameters (Å, degrees): 8.266 8.266 3.409 90.00 90.00 90.00
Atoms (fractional coordinates):
Na: 0.000 0.000 0.000
Na: 0.500 0.500 0.000
Sn: 0.375 0.875 0.000
Sn: 0.875 0.625 0.000
Sn: 0.625 0.125 0.000
Sn: 0.125 0.375 0.000
Li: 0.173 0.673 0.500
Li: 0.673 0.827 0.500
Li: 0.827 0.327 0.500
Li: 0.327 0.173 0.500

=====

b:
This record from the Alexandria database describes NaLi2Sn2 after structural relaxation. The functional is PBE-GGA.

Output
Calculated density   4.030 g/cm³
M_tot   0.0 Bohr magnetons per cell

Lattice parameters (Å, degrees): 8.177 8.177 3.381 90.00 90.00 90.00
Atoms (fractional coordinates):
Na: 0.000 0.000 0.000
Na: 0.500 0.500 0.000
Sn: 0.130 0.630 0.500
Sn: 0.630 0.870 0.500
Sn: 0.870 0.370 0.500
Sn: 0.370 0.130 0.500
Li: 0.334 0.834 0.000
Li: 0.834 0.666 0.000
Li: 0.666 0.166 0.000
Li: 0.166 0.334 0.000

=====

c:
This record from the Alexandria database describes NaLi2Sn2 after structural relaxation. The functional is PBE-GGA.

Output
Calculated density   3.712 g/cm³
M_tot   0.0 Bohr magnetons per cell

Lattice parameters (Å, degrees): 4.673 4.673 6.129 89.98 89.98 113.52
Atoms (fractional coordinates):
Na: 0.000 0.000 0.000
Li: 0.831 0.169 0.500
Li: 0.169 0.831 0.500
Sn: 0.500 0.500 0.731
Sn: 0.500 0.500 0.269

=====

d:
This record from the Alexandria database describes NaLi2Sn2 after structural relaxation. The functional is PBE-GGA.

Output
Calculated density   3.825 g/cm³
M_tot   0.0 Bohr magnetons per cell

Lattice parameters (Å, degrees): 4.207 4.207 7.357 73.39 73.39 90.00
Atoms (fractional coordinates):
Na: 0.000 0.000 0.000
Sn: 0.394 0.394 0.213
Sn: 0.606 0.606 0.787
Li: 0.750 0.250 0.500
Li: 0.250 0.750 0.500

=====

Going by the energies, a is most stable and the next is 7 meV per atom up.

=====

a:
This record from the Alexandria database describes NaLiSn2 after structural relaxation. The functional is PBE-GGA.

Output
Calculated density   4.244 g/cm³
M_tot   0.0 Bohr magnetons per cell

Lattice parameters (Å, degrees): 4.464 4.464 10.963 78.25 78.25 90.00
Atoms (fractional coordinates):
Na: 0.000 0.000 0.000
Na: 0.750 0.250 0.500
Sn: 0.610 0.125 0.250
Sn: 0.140 0.625 0.250
Sn: 0.375 0.390 0.750
Sn: 0.875 0.860 0.750
Li: 0.500 0.500 0.000
Li: 0.250 0.750 0.500

=====

b:
This record from the Alexandria database describes NaLiSn2 after structural relaxation. The functional is PBE-GGA.

Output
Calculated density   4.682 g/cm³
M_tot   0.0 Bohr magnetons per cell

Lattice parameters (Å, degrees): 3.548 3.548 7.533 90.00 90.00 90.00
Atoms (fractional coordinates):
Na: 0.500 0.500 0.500
Sn: 0.000 0.000 0.792
Sn: 0.000 0.000 0.208
Li: 0.500 0.500 0.000

=====

Going by the energies, b is most stable and the next is 168 meV per atom up.

=====

a:
This record from the Alexandria database describes NaLiSn2 after structural relaxation. The functional is PBE-GGA.

Output
Calculated density   4.675 g/cm³
M_tot   0.0 Bohr magnetons per cell

Lattice parameters (Å, degrees): 4.737 4.477 4.477 90.00 90.00 90.00
Atoms (fractional coordinates):
Na: 0.500 0.500 0.500
Sn: 0.000 0.000 0.500
Sn: 0.000 0.500 0.000
Li: 0.500 0.000 0.000

=====

b:
This record from the Alexandria database describes NaLiSn2 after structural relaxation. The functional is PBE-GGA.

Output
Calculated density   4.445 g/cm³
M_tot   0.0 Bohr magnetons per cell

Lattice parameters (Å, degrees): 4.872 6.129 7.290 90.00 90.00 113.42
Atoms (fractional coordinates):
Na: 0.926 0.853 0.250
Na: 0.074 0.147 0.750
Li: 0.207 0.415 0.250
Li: 0.793 0.585 0.750
Sn: 0.366 0.733 0.550
Sn: 0.634 0.267 0.450
Sn: 0.634 0.267 0.050
Sn: 0.366 0.733 0.950

=====

Going by the energies, b is most stable and the next is 19 meV per atom up.

=====

a:
This record from the Alexandria database describes NaLi5Sn4 after structural relaxation. The functional is PBE-GGA.

Output
Calculated density   3.944 g/cm³
M_tot   0.0 Bohr magnetons per cell

Lattice parameters (Å, degrees): 10.875 10.875 10.875 26.41 26.41 26.41
Atoms (fractional coordinates):
Na: 0.483 0.483 0.483
Sn: 0.771 0.771 0.771
Sn: 0.680 0.680 0.680
Sn: 0.318 0.318 0.318
Sn: 0.225 0.225 0.225
Li: 0.862 0.862 0.862
Li: 0.949 0.949 0.949
Li: 0.584 0.584 0.584
Li: 0.137 0.137 0.137
Li: 0.053 0.053 0.053

=====

b:
This record from the Alexandria database describes NaLi5Sn4 after structural relaxation. The functional is PBE-GGA.

Output
Calculated density   4.098 g/cm³
M_tot   0.0 Bohr magnetons per cell

Lattice parameters (Å, degrees): 3.553 3.553 17.094 90.00 90.00 90.00
Atoms (fractional coordinates):
Na: 0.000 0.000 0.000
Li: 0.500 0.500 0.129
Li: 0.500 0.500 0.309
Li: 0.500 0.500 0.500
Li: 0.500 0.500 0.691
Li: 0.500 0.500 0.871
Sn: 0.000 0.000 0.212
Sn: 0.000 0.000 0.402
Sn: 0.000 0.000 0.598
Sn: 0.000 0.000 0.788

=====

Going by the energies, b is most stable and the next is 14 meV per atom up.

=====

a:
This record from the Alexandria database describes Na2Li4Sn3 after structural relaxation. The functional is PBE-GGA.

Output
Calculated density   3.703 g/cm³
M_tot   0.0 Bohr magnetons per cell

Lattice parameters (Å, degrees): 4.951 4.956 9.069 89.98 90.01 60.02
Atoms (fractional coordinates):
Na: 0.333 0.334 0.793
Na: 0.667 0.666 0.207
Li: 0.666 0.668 0.897
Li: 0.000 0.000 0.329
Li: 0.000 0.000 0.671
Li: 0.334 0.332 0.103
Sn: 0.333 0.333 0.428
Sn: 0.000 0.000 0.000
Sn: 0.667 0.667 0.572

=====

b:
This record from the Alexandria database describes Na2Li4Sn3 after structural relaxation. The functional is PBE-GGA.

Output
Calculated density   3.512 g/cm³
M_tot   0.0 Bohr magnetons per cell

Lattice parameters (Å, degrees): 4.951 9.488 9.488 67.91 98.39 98.39
Atoms (fractional coordinates):
Na: 0.654 0.158 0.411
Na: 0.846 0.589 0.842
Na: 0.346 0.842 0.589
Na: 0.154 0.411 0.158
Li: 0.518 0.916 0.170
Li: 0.982 0.830 0.084
Li: 0.482 0.084 0.830
Li: 0.018 0.170 0.916
Li: 0.193 0.261 0.544
Li: 0.307 0.456 0.739
Li: 0.807 0.739 0.456
Li: 0.693 0.544 0.261
Sn: 0.065 0.048 0.248
Sn: 0.435 0.752 0.952
Sn: 0.935 0.952 0.752
Sn: 0.565 0.248 0.048
Sn: 0.250 0.609 0.391
Sn: 0.750 0.391 0.609

=====

Going by the energies, a is most stable and the next is 55 meV per atom up.

=====

a:
This record from the Alexandria database describes NaLiSn4 after structural relaxation. The functional is PBE-GGA.

Output
Calculated density   5.297 g/cm³
M_tot   0.0 Bohr magnetons per cell

Lattice parameters (Å, degrees): 5.861 6.368 8.970 90.00 109.07 90.00
Atoms (fractional coordinates):
Na: 0.660 0.711 0.319
Na: 0.340 0.211 0.681
Li: 0.848 0.943 0.697
Li: 0.152 0.443 0.303
Sn: 0.983 0.251 0.966
Sn: 0.017 0.751 0.034
Sn: 0.473 0.849 0.946
Sn: 0.527 0.349 0.054
Sn: 0.828 0.492 0.657
Sn: 0.172 0.992 0.343
Sn: 0.693 0.187 0.386
Sn: 0.307 0.687 0.614

=====

b:
This record from the Alexandria database describes NaLiSn4 after structural relaxation. The functional is PBE-GGA.

Output
Calculated density   4.781 g/cm³
M_tot   0.0 Bohr magnetons per cell

Lattice parameters (Å, degrees): 6.282 6.282 6.282 60.00 60.00 60.00
Atoms (fractional coordinates):
Na: 0.250 0.250 0.250
Sn: 0.625 0.625 0.124
Sn: 0.625 0.124 0.625
Sn: 0.625 0.625 0.625
Sn: 0.124 0.625 0.625
Li: 0.000 0.000 0.000

=====

Going by the energies, a is most stable and the next is 110 meV per atom up.

=====

a:
This record from the Alexandria database describes Na3Li2Sn4 after structural relaxation. The functional is PBE-GGA.

Output
Calculated density   4.057 g/cm³
M_tot   0.0 Bohr magnetons per cell

Lattice parameters (Å, degrees): 6.413 9.003 9.003 61.44 89.85 89.85
Atoms (fractional coordinates):
Na: 0.750 0.162 0.162
Na: 0.750 0.838 0.838
Na: 0.250 0.838 0.838
Na: 0.250 0.162 0.162
Na: 0.250 0.500 0.500
Na: 0.750 0.500 0.500
Li: 0.502 0.183 0.499
Li: 0.998 0.501 0.817
Li: 0.498 0.817 0.501
Li: 0.002 0.499 0.183
Sn: 0.500 0.817 0.171
Sn: 0.000 0.829 0.183
Sn: 0.500 0.183 0.829
Sn: 0.000 0.171 0.817
Sn: 0.002 0.173 0.478
Sn: 0.498 0.522 0.827
Sn: 0.998 0.827 0.522
Sn: 0.502 0.478 0.173

=====

b:
This record from the Alexandria database describes Na3Li2Sn4 after structural relaxation. The functional is PBE-GGA.

Output
Calculated density   3.843 g/cm³
M_tot   0.0 Bohr magnetons per cell

Lattice parameters (Å, degrees): 4.809 5.902 10.551 61.99 76.94 65.82
Atoms (fractional coordinates):
Na: 0.642 0.147 0.569
Na: 0.000 0.000 0.000
Na: 0.358 0.853 0.431
Li: 0.606 0.601 0.190
Li: 0.394 0.399 0.810
Sn: 0.282 0.338 0.102
Sn: 0.931 0.478 0.653
Sn: 0.069 0.522 0.347
Sn: 0.718 0.662 0.898

=====

Going by the energies, b is most stable and the next is 18 meV per atom up.

=====

a:
This record from the Alexandria database describes NaLiTlSn after structural relaxation. The functional is PBE-GGA.

Output
Calculated density   6.135 g/cm³
M_tot   0.0 Bohr magnetons per cell

Lattice parameters (Å, degrees): 5.132 5.132 5.132 60.00 60.00 60.00
Atoms (fractional coordinates):
Na: 0.500 0.500 0.500
Tl: 0.750 0.750 0.750
Sn: 0.250 0.250 0.250
Li: 0.000 0.000 0.000

=====

b:
This record from the Alexandria database describes NaLiTlSn after structural relaxation. The functional is PBE-GGA.

Output
Calculated density   6.150 g/cm³
M_tot   0.0 Bohr magnetons per cell

Lattice parameters (Å, degrees): 3.465 3.465 7.938 90.00 90.00 90.00
Atoms (fractional coordinates):
Na: 0.000 0.000 0.077
Li: 0.000 0.000 0.562
Tl: 0.500 0.500 0.786
Sn: 0.500 0.500 0.360

=====

Going by the energies, b is most stable and the next is 58 meV per atom up.

=====

a:
This record from the Alexandria database describes Na2SrLi after structural relaxation. The functional is PBE-GGA.

Output
Calculated density   1.482 g/cm³
M_tot   0.0 Bohr magnetons per cell

Lattice parameters (Å, degrees): 3.980 3.980 11.811 79.20 79.20 59.54
Atoms (fractional coordinates):
Na: 0.072 0.072 0.784
Na: 0.263 0.263 0.216
Sr: 0.498 0.498 0.499
Li: 0.667 0.667 0.001

=====

b:
This record from the Alexandria database describes Na2SrLi after structural relaxation. The functional is PBE-GGA.

Output
Calculated density   1.562 g/cm³
M_tot   0.0 Bohr magnetons per cell

Lattice parameters (Å, degrees): 4.018 4.018 9.255 90.00 90.00 90.00
Atoms (fractional coordinates):
Sr: 0.500 0.500 0.500
Li: 0.500 0.500 0.000
Na: 0.000 0.000 0.799
Na: 0.000 0.000 0.201

=====

c:
This record from the Alexandria database describes Na2SrLi after structural relaxation. The functional is PBE-GGA.

Output
Calculated density   1.481 g/cm³
M_tot   0.0 Bohr magnetons per cell

Lattice parameters (Å, degrees): 4.926 4.926 13.448 79.45 79.45 90.00
Atoms (fractional coordinates):
Sr: 0.000 0.000 0.000
Sr: 0.750 0.250 0.500
Li: 0.500 0.500 0.000
Li: 0.250 0.750 0.500
Na: 0.591 0.125 0.250
Na: 0.159 0.625 0.250
Na: 0.375 0.409 0.750
Na: 0.875 0.841 0.750

=====

d:
This record from the Alexandria database describes Na2SrLi after structural relaxation. The functional is PBE-GGA.

Output
Calculated density   1.513 g/cm³
M_tot   0.0 Bohr magnetons per cell

Lattice parameters (Å, degrees): 5.841 5.139 5.139 90.00 90.00 90.00
Atoms (fractional coordinates):
Sr: 0.500 0.500 0.500
Li: 0.500 0.000 0.000
Na: 0.000 0.000 0.500
Na: 0.000 0.500 0.000

=====

Going by the energies, b is most stable and the next is 20 meV per atom up.

=====

a:
This record from the Alexandria database describes Na2SrLi after structural relaxation. The functional is PBE-GGA.

Output
Calculated density   1.574 g/cm³
M_tot   0.0 Bohr magnetons per cell

Lattice parameters (Å, degrees): 6.907 6.907 11.477 72.49 72.49 60.00
Atoms (fractional coordinates):
Na: 0.420 0.420 0.241
Na: 0.919 0.420 0.241
Na: 0.420 0.919 0.241
Na: 0.580 0.580 0.759
Na: 0.580 0.081 0.759
Na: 0.081 0.580 0.759
Sr: 0.857 0.857 0.429
Sr: 0.143 0.143 0.571
Sr: 0.000 0.000 0.000
Li: 0.667 0.667 0.998
Li: 0.333 0.333 0.002
Li: 0.500 0.500 0.500

=====

b:
This record from the Alexandria database describes Na2SrLi after structural relaxation. The functional is PBE-GGA.

Output
Calculated density   1.551 g/cm³
M_tot   0.0 Bohr magnetons per cell

Lattice parameters (Å, degrees): 5.971 5.971 5.971 60.00 60.00 60.00
Atoms (fractional coordinates):
Sr: 0.500 0.500 0.500
Li: 0.000 0.000 0.000
Na: 0.250 0.250 0.250
Na: 0.750 0.750 0.750

=====

c:
This record from the Alexandria database describes Na2SrLi after structural relaxation. The functional is PBE-GGA.

Output
Calculated density   1.553 g/cm³
M_tot   0.0 Bohr magnetons per cell

Lattice parameters (Å, degrees): 5.131 6.899 9.148 90.00 90.00 111.83
Atoms (fractional coordinates):
Na: 0.356 0.711 0.555
Na: 0.644 0.289 0.445
Na: 0.644 0.289 0.055
Na: 0.356 0.711 0.945
Sr: 0.937 0.875 0.250
Sr: 0.063 0.125 0.750
Li: 0.224 0.448 0.250
Li: 0.776 0.552 0.750

=====

Going by the energies, a is most stable and the next is 12 meV per atom up.